# 1
The following is a PBE calculation of a geometry-optimized CsHg5I11 structure, from Alexandria.

POSCAR file:
```
CsHg5I11
1.0
-7.539 -0.226 -2.162
4.401 -10.199 -1.598
0.404 1.534 11.110
I Hg Cs
11 5 1
Cartesian
-4.432 -0.373 6.267 I
-2.838 -3.286 2.141 I
0.105 -5.606 5.209 I
-3.769 -0.113 -1.081 I
0.587 -1.184 4.318 I
1.699 -8.518 1.083 I
-2.073 -7.297 -1.232 I
1.567 -4.061 1.202 I
-0.660 -1.594 8.582 I
-4.300 -4.830 6.147 I
-3.320 -7.707 3.032 I
-4.733 0.048 2.133 Hg
0.818 -5.470 8.974 Hg
2.403 -4.333 4.756 Hg
-3.552 -3.421 -1.624 Hg
2.000 -8.939 5.217 Hg
0.000 0.000 0.000 Cs
```

Values from the calculation:
DOS(E_F)   0.00 states/eV/cell
DFT total energy   -1.562 eV/atom


# 2
The following is a PBE calculation of a geometry-optimized CsHg2I6 structure, from Alexandria.

POSCAR file:
```
CsHg2I6
1.0
-2.529 1.760 -3.573
-5.587 -4.332 -1.295
-9.903 6.485 7.089
I Hg Cs
6 2 1
Cartesian
-15.264 3.686 3.274 I
-2.755 0.228 -1.053 I
-11.663 0.630 2.335 I
-5.668 -1.244 0.283 I
-12.351 5.158 1.937 I
-6.356 3.284 -0.114 I
-13.716 1.273 4.105 Hg
-4.303 2.640 -1.884 Hg
-7.745 1.077 2.897 Cs
```

Values from the calculation:
DOS(E_F)   4.37 states/eV/cell
DFT total energy   -1.638 eV/atom


# 3
The following is a PBE calculation of a geometry-optimized Cs12Hg3I5 structure, from Alexandria.

POSCAR file:
```
Cs12Hg3I5
1.0
-6.710 15.282 -11.218
-11.978 -2.349 15.982
18.727 3.939 6.180
Cs I Hg
48 20 12
Cartesian
-15.644 10.706 5.669 Cs
-9.525 5.643 6.169 Cs
-3.763 9.035 6.094 Cs
-10.156 13.842 -0.310 Cs
-3.730 12.318 0.739 Cs
-6.536 8.601 9.866 Cs
9.564 11.228 4.775 Cs
-0.007 9.949 9.044 Cs
-5.554 14.774 -3.041 Cs
5.851 2.632 4.598 Cs
-0.704 10.393 -4.941 Cs
3.801 7.837 4.849 Cs
4.304 15.513 5.332 Cs
-0.739 14.400 -2.480 Cs
-8.680 10.289 2.392 Cs
-5.485 10.883 -5.679 Cs
-2.736 9.305 12.818 Cs
-9.014 -0.369 14.451 Cs
0.777 2.472 13.424 Cs
-1.433 15.051 7.850 Cs
6.575 8.270 1.077 Cs
4.717 16.218 -5.009 Cs
-0.957 5.385 7.661 Cs
-3.862 8.386 -1.835 Cs
-5.819 5.008 3.086 Cs
-7.849 2.131 8.807 Cs
7.888 14.741 2.137 Cs
-5.813 14.240 6.345 Cs
5.593 2.097 13.984 Cs
15.682 6.166 5.275 Cs
5.524 5.988 16.623 Cs
-4.678 0.653 15.953 Cs
2.775 7.566 -1.874 Cs
3.900 8.485 12.779 Cs
1.471 1.820 3.094 Cs
3.892 12.056 -0.377 Cs
-4.266 1.359 5.612 Cs
10.194 3.029 11.254 Cs
0.045 6.922 1.900 Cs
11.268 5.238 3.948 Cs
9.053 17.240 -3.507 Cs
0.996 11.486 3.283 Cs
-3.853 4.815 11.321 Cs
3.769 4.553 10.205 Cs
-11.229 11.633 6.995 Cs
8.719 6.583 8.552 Cs
0.742 6.478 15.885 Cs
5.858 11.864 7.858 Cs
3.209 11.236 10.383 I
3.375 0.795 11.081 I
2.838 15.246 -1.958 I
-9.818 2.257 11.952 I
-0.649 2.014 6.136 I
0.019 8.436 5.472 I
-3.355 7.641 -5.609 I
0.687 14.857 4.808 I
-2.800 1.625 12.902 I
-9.344 6.466 2.382 I
9.364 1.969 3.090 I
-5.496 11.470 3.893 I
6.008 9.610 -2.519 I
-3.170 5.636 0.561 I
10.032 8.391 2.426 I
-9.993 8.480 8.518 I
0.000 0.000 0.000 I
5.535 5.401 7.051 I
9.856 14.614 -1.008 I
-5.989 -1.175 7.991 I
-3.809 11.868 9.433 Hg
-5.321 5.247 7.327 Hg
-2.687 14.063 -6.273 Hg
-12.514 12.102 2.943 Hg
5.360 11.624 3.617 Hg
12.553 4.769 8.001 Hg
-7.184 11.073 -1.648 Hg
7.222 5.798 12.592 Hg
3.848 5.004 1.511 Hg
-0.166 10.441 -0.698 Hg
0.204 6.430 11.642 Hg
2.726 2.809 17.217 Hg
```

Values from the calculation:
DOS(E_F)   73.90 states/eV/cell
DFT total energy   -1.668 eV/atom


# 4
The following is a PBE calculation of a geometry-optimized CsHg2I structure, from Alexandria.

POSCAR file:
```
CsHg2I
1.0
6.596 0.000 0.000
0.000 5.335 0.000
0.000 0.000 5.335
Cs Hg I
1 2 1
Cartesian
3.298 2.668 2.668 Cs
0.000 0.000 2.668 Hg
0.000 2.668 0.000 Hg
3.298 0.000 0.000 I
```

Values from the calculation:
DOS(E_F)   0.00 states/eV/cell
Distance to the lowest polymorph of the same formula   43 meV per atom


# 5
The following is a PBE calculation of a geometry-optimized CsHg2I structure, from Alexandria.

POSCAR file:
```
CsHg2I
1.0
5.341 0.000 0.000
0.000 5.397 -1.051
0.000 -0.154 12.957
Hg Cs I
4 2 2
Cartesian
1.335 5.145 10.792 Hg
4.005 2.253 11.395 Hg
1.335 2.990 0.511 Hg
4.005 0.099 1.115 Hg
1.335 0.903 4.343 Cs
4.005 4.340 7.563 Cs
1.335 1.659 8.157 I
4.005 3.585 3.749 I
```

Values from the calculation:
DOS(E_F)   0.00 states/eV/cell
Distance to the lowest polymorph of the same formula   0 meV per atom


# 6
The following is a PBE calculation of a geometry-optimized CsInHgI3 structure, from Alexandria.

POSCAR file:
```
CsInHgI3
1.0
6.041 0.000 0.000
-3.020 10.764 -1.259
0.000 -4.509 10.107
I In Cs Hg
6 2 2 2
Cartesian
0.000 1.525 3.917 I
3.020 4.730 4.931 I
3.020 6.841 0.215 I
0.000 7.654 5.707 I
3.020 -1.399 3.141 I
0.000 -0.586 8.633 I
3.020 7.567 5.900 In
0.000 -1.312 2.948 In
0.000 5.183 2.308 Cs
3.020 1.073 6.540 Cs
3.020 2.487 1.125 Hg
0.000 3.768 7.723 Hg
```

Values from the calculation:
DOS(E_F)   2.07 states/eV/cell
DFT total energy   -2.070 eV/atom


# 7
The following is a PBE calculation of a geometry-optimized Cs2InHgI6 structure, from Alexandria.

POSCAR file:
```
Cs2InHgI6
1.0
-1.172 -8.393 1.676
-1.907 -5.460 -6.416
5.850 -5.787 -2.629
I In Cs Hg
6 1 2 1
Cartesian
2.686 -10.546 -6.410 I
-0.884 -11.870 -4.221 I
0.086 -9.095 -0.960 I
3.655 -7.770 -3.148 I
-0.288 -7.604 -5.073 I
3.059 -12.037 -2.296 I
0.000 0.000 0.000 In
2.078 -14.730 -5.527 Cs
0.693 -4.910 -1.842 Cs
1.386 -9.820 -3.685 Hg
```

Values from the calculation:
DOS(E_F)   0.64 states/eV/cell
DFT total energy   -2.265 eV/atom


# 8
The following is a PBE calculation of a geometry-optimized Cs3In2HgI9 structure, from Alexandria.

POSCAR file:
```
Cs3In2HgI9
1.0
8.652 0.000 0.000
-4.326 7.493 0.000
0.000 0.000 10.640
I Cs In Hg
9 3 2 1
Cartesian
2.147 6.235 3.482 I
2.163 3.746 0.000 I
0.000 2.516 3.482 I
4.326 4.977 7.158 I
4.326 0.000 0.000 I
-2.147 6.235 3.482 I
-2.163 3.746 0.000 I
6.473 1.258 7.158 I
2.179 1.258 7.158 I
4.326 2.498 3.571 Cs
0.000 0.000 0.000 Cs
0.000 4.995 7.070 Cs
0.000 4.995 1.825 In
4.326 2.498 8.815 In
0.000 0.000 5.320 Hg
```

Values from the calculation:
DOS(E_F)   2.47 states/eV/cell
DFT total energy   -2.365 eV/atom


# 9
The following is a PBE calculation of a geometry-optimized CsIn2HgI8 structure, from Alexandria.

POSCAR file:
```
CsIn2HgI8
1.0
7.771 0.000 0.000
3.885 6.730 0.000
3.885 2.243 11.198
I Cs In Hg
8 1 2 1
Cartesian
6.514 2.399 1.980 I
8.950 2.355 9.218 I
11.656 6.730 5.589 I
9.027 6.574 9.218 I
10.206 4.442 1.980 I
5.335 4.531 9.218 I
3.885 2.243 5.609 I
6.592 6.618 1.980 I
7.771 4.486 5.599 Cs
3.885 2.243 2.852 In
11.656 6.730 8.346 In
0.000 0.000 0.000 Hg
```

Values from the calculation:
DOS(E_F)   6.66 states/eV/cell
DFT total energy   -2.189 eV/atom


# 10
The following is a PBE calculation of a geometry-optimized CsInHgI4 structure, from Alexandria.

POSCAR file:
```
CsInHgI4
1.0
9.446 0.000 0.455
0.000 8.595 0.000
-3.066 0.000 9.200
I Cs In Hg
8 2 2 2
Cartesian
4.525 2.149 4.271 I
7.021 4.369 7.292 I
7.021 8.524 7.292 I
-0.641 4.226 2.363 I
-0.641 0.071 2.363 I
3.219 2.149 8.574 I
1.856 6.446 5.384 I
3.162 6.446 1.080 I
0.690 2.149 5.554 Cs
5.691 6.446 4.101 Cs
5.414 2.149 6.919 In
0.967 6.446 2.735 In
3.616 6.446 8.849 Hg
2.764 2.149 0.806 Hg
```

Values from the calculation:
DOS(E_F)   0.00 states/eV/cell
DFT total energy   -2.204 eV/atom


# 11
The following is a PBE calculation of a geometry-optimized Cs3K3HgI8 structure, from Alexandria.

POSCAR file:
```
Cs3K3HgI8
1.0
-8.020 -3.659 5.272
9.146 -4.641 0.686
-1.295 9.526 4.641
K Cs Hg I
3 3 1 8
Cartesian
-0.085 0.613 5.300 K
3.925 2.442 2.663 K
-4.657 2.933 4.957 K
4.573 -2.320 0.343 Cs
0.563 -4.150 2.979 Cs
0.000 0.000 0.000 Cs
-0.648 4.763 2.321 Hg
1.269 3.911 4.644 I
-1.438 -2.685 5.955 I
6.422 1.293 5.029 I
-2.073 1.994 2.600 I
2.296 -0.720 2.993 I
1.904 -0.768 7.999 I
-2.465 1.946 7.606 I
-6.591 -0.067 5.570 I
```

Values from the calculation:
DOS(E_F)   0.00 states/eV/cell
DFT total energy   -2.479 eV/atom


# 12
The following is a PBE calculation of a geometry-optimized Cs2KHg2I6 structure, from Alexandria.

POSCAR file:
```
Cs2KHg2I6
1.0
-2.251 7.190 -4.680
2.492 -7.192 -3.844
-9.445 -0.584 3.645
Cs I K Hg
2 6 1 2
Cartesian
-2.467 1.966 -4.198 Cs
-6.738 -2.552 -0.681 Cs
-8.218 1.005 0.831 I
-2.987 -1.909 -1.495 I
-9.220 4.203 -1.251 I
-6.217 1.322 -3.383 I
0.015 -4.790 -3.627 I
-0.986 -1.591 -5.709 I
-5.848 3.303 -0.517 K
-1.380 -0.279 0.235 Hg
-7.825 -0.308 -5.113 Hg
```

Values from the calculation:
DOS(E_F)   3.61 states/eV/cell
DFT total energy   -2.065 eV/atom


# 13
The following is a PBE calculation of a geometry-optimized Cs2KHgI5 structure, from Alexandria.

POSCAR file:
```
Cs2KHgI5
1.0
-3.001 -2.823 2.644
8.696 2.264 7.756
-8.074 13.399 5.141
I K Cs Hg
10 2 4 2
Cartesian
4.930 0.781 6.429 I
-1.231 9.719 8.979 I
-3.611 2.123 2.700 I
1.012 11.083 12.981 I
1.555 5.613 7.757 I
1.096 6.161 12.354 I
0.464 0.142 0.679 I
-3.492 5.727 6.682 I
-0.132 1.438 5.916 I
-6.002 10.661 9.102 I
-1.555 6.318 9.512 K
2.586 0.865 3.858 K
-2.926 10.436 12.353 Cs
-3.645 9.452 5.954 Cs
2.260 1.740 8.955 Cs
-0.858 4.737 4.083 Cs
-7.999 10.893 7.083 Hg
3.025 6.255 10.111 Hg
```

Values from the calculation:
DFT total energy   -2.320 eV/atom


# 14
The following is a PBE calculation of a geometry-optimized Cs2LaHgI6 structure, from Alexandria.

POSCAR file:
```
Cs2LaHgI6
1.0
9.041 0.000 0.000
0.000 9.041 0.000
4.521 4.521 6.371
I Hg La Cs
6 1 1 2
Cartesian
2.292 6.749 0.000 I
6.749 6.749 0.000 I
4.521 4.521 3.151 I
6.749 2.292 0.000 I
2.292 2.292 0.000 I
9.041 9.041 3.220 I
0.000 0.000 0.000 Hg
4.521 4.521 0.000 La
9.041 4.521 3.185 Cs
4.521 9.041 3.185 Cs
```

Values from the calculation:
DOS(E_F)   7.46 states/eV/cell
DFT total energy   -2.837 eV/atom


# 15
The following is a PBE calculation of a geometry-optimized CsLaHgI6 structure, from Alexandria.

POSCAR file:
```
CsLaHgI6
1.0
8.403 0.315 0.267
4.474 7.119 -0.269
0.297 -0.515 8.483
La I Cs Hg
1 6 1 1
Cartesian
8.647 4.649 4.240 La
8.199 6.610 6.578 I
2.890 3.661 5.839 I
4.914 0.158 2.643 I
10.121 3.281 1.903 I
5.885 4.717 2.617 I
7.325 2.225 5.865 I
13.044 6.844 8.481 Cs
4.837 2.450 4.242 Hg
```

Values from the calculation:
DOS(E_F)   0.00 states/eV/cell
DFT total energy   -2.809 eV/atom


# 16
The following is a PBE calculation of a geometry-optimized CsLiHgI2 structure, from Alexandria.

POSCAR file:
```
CsLiHgI2
1.0
5.939 0.000 0.000
0.000 5.939 0.000
0.000 0.000 5.571
Cs Hg Li I
1 1 1 2
Cartesian
2.970 2.970 2.785 Cs
0.000 0.000 2.785 Hg
0.000 0.000 0.000 Li
2.970 0.000 0.000 I
0.000 2.970 0.000 I
```

Values from the calculation:
DOS(E_F)   0.00 states/eV/cell
Distance to the lowest polymorph of the same formula   0 meV per atom


# 17
The following is a PBE calculation of a geometry-optimized Cs2LiHgI6 structure, from Alexandria.

POSCAR file:
```
Cs2LiHgI6
1.0
-3.384 4.451 6.340
2.389 -5.981 5.474
4.729 2.060 6.713
I Cs Hg Li
6 2 1 1
Cartesian
2.087 0.632 6.306 I
-1.932 1.826 6.122 I
1.647 -0.103 12.221 I
-0.745 -1.146 8.842 I
-0.250 -0.385 2.972 I
0.937 -3.357 5.692 I
3.310 -2.343 9.047 Cs
0.423 2.873 9.480 Cs
0.000 0.000 0.000 Hg
-0.498 -0.765 5.907 Li
```

Values from the calculation:
DOS(E_F)   19.52 states/eV/cell
DFT total energy   -2.178 eV/atom


# 18
The following is a PBE calculation of a geometry-optimized Cs2Li2HgI6 structure, from Alexandria.

POSCAR file:
```
Cs2Li2HgI6
1.0
-3.295 -2.817 -7.166
-0.868 -4.903 7.221
-5.495 6.558 -0.052
I Li Hg Cs
6 2 1 2
Cartesian
-3.139 -1.003 1.838 I
-6.898 2.500 -5.089 I
-5.293 3.872 -1.599 I
-6.518 -0.159 -1.834 I
-2.760 -3.662 5.092 I
-4.364 -5.034 1.602 I
-7.704 -2.091 -0.529 Li
-1.953 0.929 0.533 Li
-4.395 1.871 -3.609 Hg
-5.914 1.710 2.047 Cs
-3.743 -2.871 -2.044 Cs
```

Values from the calculation:
DFT total energy   -2.391 eV/atom


Looking at calculated volume for the records above, in order, we have 48.4, 47.9, 78.3, 46.9, 46.6, 51.9, 45.6, 46.0, 48.8, 54.2, 54.1, 53.1, 52.0, 52.1, 54.8, 39.3, 42.8, 45.5 Å³/atom.